(1)
The following is a DFT calculation (PBE) of SrTlSbI2 after structural relaxation.

abc: 6.181 6.181 5.798
angles: 90.00 90.00 90.00
Sites, in units of the cell vectors:
1 Sr 0.500 0.500 0.500
2 Tl 0.000 0.000 0.000
3 I 0.000 0.500 0.000
4 I 0.500 0.000 0.000
5 Sb 0.000 0.000 0.500

Values from the calculation:
space group	P4/mmm
crystal system	tetragonal
magnetic moment	0.87	μB/f.u.
formation energy (no corrections)	-28.1	kJ/mol of atoms
excess energy over the best structure of this formula in the dataset	80	kJ/mol of formula units
DOS at the Fermi energy	4.303	states/eV/f.u.



(2)
The following is a DFT calculation (PBE) of Pu3PBr3 after structural relaxation.

abc: 4.097 8.391 11.703
angles: 88.10 90.00 90.00
Sites, in units of the cell vectors:
1 Br 0.250 0.379 0.360
2 Br 0.750 0.143 0.121
3 Br 0.750 0.621 0.640
4 Br 0.250 0.857 0.879
5 Br 0.250 0.369 0.870
6 Br 0.750 0.631 0.130
7 Pu 0.750 0.107 0.383
8 Pu 0.750 0.649 0.384
9 Pu 0.250 0.893 0.617
10 Pu 0.250 0.351 0.616
11 Pu 0.250 0.885 0.140
12 Pu 0.750 0.115 0.860
13 P 0.250 0.876 0.377
14 P 0.750 0.124 0.623

Values from the calculation:
space group	P2_1/m
crystal system	monoclinic
magnetic moment	17.62	μB/f.u.
formation energy (no corrections)	-123.0	kJ/mol of atoms
DOS at the Fermi energy	25.061	states/eV/f.u.



> Among the records above, which one has the lowest DOS at the Fermi energy?

SrTlSbI2